# 1
# GeClO2, relaxed, DFT PBE
# - Relative energy among the computed polymorphs: 3.82 kcal/mol of atoms
# - Energy relative to the elements, uncorrected: -3.1 eV/f.u.
data_GeClO2
_chemical_formula_sum 'Ge4 Cl4 O8'
_symmetry_space_group_name_H-M 'I -4 2 d'
_symmetry_Int_Tables_number 122
_symmetry_space_group_name_Hall 'I -4 2bw'
_cell_length_a 5.639
_cell_length_b 5.639
_cell_length_c 7.915
_cell_angle_alpha 90.00
_cell_angle_beta 90.00
_cell_angle_gamma 90.00
loop_
_atom_site_label
_atom_site_fract_x
_atom_site_fract_y
_atom_site_fract_z
Ge1 0.000 0.000 0.000
Cl1 0.000 0.000 0.500
O1 0.057 0.250 0.125



# 2
# Ge2ClO2, relaxed, DFT PBE
# - Energy relative to the elements, uncorrected: -3.9 eV/f.u.
data_Ge2ClO2
_chemical_formula_sum 'Ge8 Cl4 O8'
_symmetry_space_group_name_H-M 'I 41 m d'
_symmetry_Int_Tables_number 109
_symmetry_space_group_name_Hall 'I 4bw -2'
_cell_length_a 5.668
_cell_length_b 5.668
_cell_length_c 10.466
_cell_angle_alpha 90.00
_cell_angle_beta 90.00
_cell_angle_gamma 90.00
loop_
_atom_site_label
_atom_site_fract_x
_atom_site_fract_y
_atom_site_fract_z
Ge1 0.000 0.252 0.000
Cl1 0.000 0.000 0.518
O1 0.000 0.281 0.213



# 3
# GeClO2, relaxed, DFT PBE
# - Relative energy among the computed polymorphs: 35.32 kcal/mol of atoms
# - Energy relative to the elements, uncorrected: 2.4 eV/f.u.
data_GeClO2
_chemical_formula_sum 'Ge4 Cl4 O8'
_symmetry_space_group_name_H-M 'F m -3 m'
_symmetry_Int_Tables_number 225
_symmetry_space_group_name_Hall '-F 4 2 3'
_cell_length_a 5.906
_cell_length_b 5.906
_cell_length_c 5.906
_cell_angle_alpha 90.00
_cell_angle_beta 90.00
_cell_angle_gamma 90.00
loop_
_atom_site_label
_atom_site_fract_x
_atom_site_fract_y
_atom_site_fract_z
Ge1 0.000 0.000 0.000
Cl1 0.000 0.000 0.500
O1 0.250 0.250 0.250



# 4
# Ge3Cl2O2, relaxed, DFT PBE
# - Energy relative to the elements, uncorrected: -6.2 eV/f.u.
data_Ge3Cl2O2
_chemical_formula_sum 'Ge6 Cl4 O4'
_symmetry_space_group_name_H-M 'P 1 21/c 1'
_symmetry_Int_Tables_number 14
_cell_length_a 6.356
_cell_length_b 9.255
_cell_length_c 6.258
_cell_angle_alpha 90.00
_cell_angle_beta 115.17
_cell_angle_gamma 90.00
loop_
_symmetry_equiv_pos_as_xyz
'x,y,z'
'-x,-y,-z'
'-x,y+1/2,-z+1/2'
'x,-y+1/2,z+1/2'
loop_
_atom_site_label
_atom_site_fract_x
_atom_site_fract_y
_atom_site_fract_z
Ge1 0.000 0.000 0.000
Ge2 0.390 0.090 0.616
Cl1 0.213 0.622 0.255
O1 0.320 0.010 0.308



# 5
# Ge2ClO, relaxed, DFT PBE
# - Relative energy among the computed polymorphs: 10.76 kcal/mol of atoms
# - Energy relative to the elements, uncorrected: 0.5 eV/f.u.
data_Ge2ClO
_chemical_formula_sum 'Ge8 Cl4 O4'
_symmetry_space_group_name_H-M 'F m -3 m'
_symmetry_Int_Tables_number 225
_symmetry_space_group_name_Hall '-F 4 2 3'
_cell_length_a 6.403
_cell_length_b 6.403
_cell_length_c 6.403
_cell_angle_alpha 90.00
_cell_angle_beta 90.00
_cell_angle_gamma 90.00
loop_
_atom_site_label
_atom_site_fract_x
_atom_site_fract_y
_atom_site_fract_z
Ge1 0.250 0.250 0.250
Cl1 0.000 0.000 0.000
O1 0.000 0.000 0.500



# 6
# GeClO2, relaxed, DFT PBE
# - Relative energy among the computed polymorphs: 26.30 kcal/mol of atoms
# - Energy relative to the elements, uncorrected: 0.8 eV/f.u.
data_GeClO2
_chemical_formula_sum 'Ge3 Cl3 O6'
_symmetry_space_group_name_H-M 'R -3 m'
_symmetry_Int_Tables_number 166
_symmetry_space_group_name_Hall '-R 3 2"'
_cell_length_a 3.2464
_cell_length_b 3.2464
_cell_length_c 24.7596
_cell_angle_alpha 90.00
_cell_angle_beta 90.00
_cell_angle_gamma 120.00
loop_
_atom_site_label
_atom_site_fract_x
_atom_site_fract_y
_atom_site_fract_z
Ge1 0.0000 0.0000 0.0000
Cl1 0.0000 0.0000 0.5000
O1 0.0000 0.0000 0.0658



# 7
# PaGeClO4, relaxed, DFT PBE
# - Energy relative to the elements, uncorrected: -17.2 eV/f.u.
data_PaGeClO4
_chemical_formula_sum 'Pa4 Ge4 Cl4 O16'
_symmetry_space_group_name_H-M 'C 1 2/m 1'
_symmetry_Int_Tables_number 12
_cell_length_a 10.161
_cell_length_b 6.981
_cell_length_c 6.844
_cell_angle_alpha 90.00
_cell_angle_beta 107.24
_cell_angle_gamma 90.00
loop_
_symmetry_equiv_pos_as_xyz
'x,y,z'
'-x,-y,-z'
'-x,y,-z'
'x,-y,z'
'x+1/2,y+1/2,z'
'-x+1/2,-y+1/2,-z'
'-x+1/2,y+1/2,-z'
'x+1/2,-y+1/2,z'
loop_
_atom_site_label
_atom_site_fract_x
_atom_site_fract_y
_atom_site_fract_z
Pa1 0.242 0.000 0.143
Ge1 0.138 0.500 0.272
Cl1 0.014 0.000 0.775
O1 0.042 0.500 0.790
O2 0.201 0.309 0.150
O3 0.212 0.500 0.538



# 8
# GeS2ClO, relaxed, DFT PBE
# - Relative energy among the computed polymorphs: 0.00 kcal/mol of atoms
# - Energy relative to the elements, uncorrected: 2.8 eV/f.u.
data_GeS2ClO
_chemical_formula_sum 'Ge1 S2 Cl1 O1'
_symmetry_space_group_name_H-M 'P 4/m m m'
_symmetry_Int_Tables_number 123
_symmetry_space_group_name_Hall '-P 4 2'
_cell_length_a 4.265
_cell_length_b 4.265
_cell_length_c 4.615
_cell_angle_alpha 90.00
_cell_angle_beta 90.00
_cell_angle_gamma 90.00
loop_
_atom_site_label
_atom_site_fract_x
_atom_site_fract_y
_atom_site_fract_z
Ge1 0.000 0.000 0.000
S1 0.000 0.500 0.500
Cl1 0.500 0.500 0.000
O1 0.500 0.500 0.500



Number 1: electronic total energy -0.357 Ry/atom. Number 2: electronic total energy -0.366 Ry/atom. Number 3: electronic total energy -0.257 Ry/atom. Number 4: electronic total energy -0.353 Ry/atom. Number 5: electronic total energy -0.286 Ry/atom. Number 6: electronic total energy -0.286 Ry/atom. Number 7: electronic total energy -0.556 Ry/atom. Number 8: electronic total energy -0.249 Ry/atom.